The following is a GGA-PBEsol calculation of Li5Al after structural relaxation, from the Alexandria database.

Cell: 2.9125 4.7586 7.7527 Å, 90.00 100.83 90.00°
With the nearest neighbours (Å) after each atom.
Fractional positions:
Al  0.9983  0.0000  0.9966  10 Li 2.83-2.90, 2 Al 2.91
Li  0.4512  0.5000  0.9024  8 Li 2.79-2.99, 4 Al 2.88
Li  0.6581  0.0000  0.3162  2 Al 2.84, 10 Li 2.90-3.12
Li  0.3391  0.0000  0.6781  2 Al 2.83, 10 Li 2.91-3.12
Li  0.7795  0.5000  0.5591  12 Li 2.91-3.01
Li  0.1071  0.5000  0.2142  10 Li 2.79-3.00, 2 Al 2.90

SG: Amm2, No. 38
Size of the total moment (Bohr magnetons per cell): 0.000
Polymorph energy (0 for the lowest one) (meV per atom): 0
E_form (eV per atom): -0.051